VASP calculation (PBE-GGA) on a relaxed structure of InAu3.

Cell lengths 3.4226, 4.6762, 4.7980 Å; angles 90.00, 90.00, 90.00 degrees
Fractional positions:
Au1 0.5000 0.5000 0.8489
Au2 0.5000 0.0000 0.4794
Au3 0.0000 0.0000 0.9813
In1 0.0000 0.5000 0.3571

## Properties
- V: 77 Å³/cell
- Space group: No. 25
- Crystal system: orthorhombic
- Total DFT energy (no corrections): -3.231 eV/atom